Material: PrTm3Sb4
Method: DFT, GGA-PBE
State: relaxed

```
PrTm3Sb4
1.0
4.3991 0.0000 0.0000
0.0000 7.6104 -0.0744
0.0000 -2.4700 7.1988
Sb Tm Pr
4 3 1
Cartesian
0.0000 1.3349 1.8501
0.0000 3.8055 5.2743
2.1995 5.0413 1.7792
2.1995 0.0991 5.3452
0.0000 -1.2350 3.5994
2.1995 2.5702 3.5622
0.0000 3.8052 -0.0372
2.1995 0.0000 0.0000
```

Calculated values
Volume   30.0 Å³ per atom
E_form (uncorrected)   -1.087 eV/atom